Record 1
Material: YZn4Os
Method: DFT, meta-GGA SCAN
State: single point on PBEsol structure

Cell lengths 5.027, 5.027, 5.027 Å; angles 60.00, 60.00, 60.00 degrees
Sites, in units of the cell vectors:
Y 0.000 0.000 0.000
Zn 0.129 0.624 0.624
Zn 0.624 0.129 0.624
Zn 0.624 0.624 0.129
Zn 0.624 0.624 0.624
Os 0.250 0.250 0.250

DFT formation energy = -0.2758 eV/atom
Space-group type = No. 216
Size of the total moment = 0.00 μB per formula unit
Calculated density = 10.00 g/cm³



Record 2
Material: Y2ZnOs
Method: DFT, meta-GGA SCAN
State: single point on PBEsol structure

Cell lengths 8.643, 8.643, 8.643 Å; angles 23.30, 23.30, 23.30 degrees
Sites, in units of the cell vectors:
Y 0.244 0.244 0.244
Y 0.756 0.756 0.756
Zn 0.000 0.000 0.000
Os 0.500 0.500 0.500

DFT formation energy = 0.0326 eV/atom
Space-group type = No. 166
Size of the total moment = 0.00 μB per formula unit
Calculated density = 8.12 g/cm³



Record 3
Material: Y2ZnOs
Method: DFT, meta-GGA SCAN
State: single point on PBEsol structure

Cell lengths 4.811, 4.811, 3.464 Å; angles 90.00, 90.00, 90.00 degrees
Sites, in units of the cell vectors:
Y 0.000 0.500 0.000
Y 0.500 0.000 0.000
Zn 0.000 0.000 0.500
Os 0.500 0.500 0.500

DFT formation energy = -0.3613 eV/atom
Space-group type = No. 123
Size of the total moment = 0.00 μB per formula unit
Calculated density = 8.98 g/cm³



Record 4
Material: YZrOs2
Method: DFT, meta-GGA SCAN
State: single point on PBEsol structure

Cell lengths 4.607, 4.607, 4.607 Å; angles 60.00, 60.00, 60.00 degrees
Sites, in units of the cell vectors:
Y 0.000 0.000 0.000
Zr 0.750 0.750 0.750
Os 0.250 0.250 0.250
Os 0.500 0.500 0.500

DFT formation energy = 0.0348 eV/atom
Space-group type = No. 216
Size of the total moment = 0.00 μB per formula unit
Calculated density = 13.47 g/cm³



Record 5
Material: YZrOs2
Method: DFT, meta-GGA SCAN
State: single point on PBEsol structure

Cell lengths 2.897, 2.897, 8.958 Å; angles 90.00, 90.00, 90.00 degrees
Sites, in units of the cell vectors:
Y 0.000 0.000 0.000
Zr 0.500 0.500 0.333
Os 0.000 0.000 0.573
Os 0.500 0.500 0.751

DFT formation energy = 0.0566 eV/atom
Space-group type = No. 99
Size of the total moment = 0.00 μB per formula unit
Calculated density = 12.38 g/cm³



Record 6
Material: YZrOs4
Method: DFT, meta-GGA SCAN
State: single point on PBEsol structure

Cell lengths 5.247, 5.247, 5.247 Å; angles 60.00, 60.00, 60.00 degrees
Sites, in units of the cell vectors:
Y 0.000 0.000 0.000
Zr 0.750 0.750 0.750
Os 0.375 0.375 0.375
Os 0.375 0.375 0.875
Os 0.375 0.875 0.375
Os 0.875 0.375 0.375

DFT formation energy = -0.4282 eV/atom
Space-group type = No. 216
Size of the total moment = 0.00 μB per formula unit
Calculated density = 15.30 g/cm³



Record 7
Material: Y2ZrOs
Method: DFT, meta-GGA SCAN
State: single point on PBEsol structure

Cell lengths 6.059, 6.059, 6.059 Å; angles 146.84, 130.20, 61.15 degrees
Sites, in units of the cell vectors:
Y 0.000 0.000 0.000
Y 0.708 0.208 0.500
Zr 0.409 0.409 0.000
Os 0.221 0.721 0.500

DFT formation energy = -0.2678 eV/atom
Space-group type = No. 44
E above lowest polymorph = 0 meV per atom
Size of the total moment = 0.00 μB per formula unit
Calculated density = 8.28 g/cm³



Record 8
Material: Y2ZrOs
Method: DFT, meta-GGA SCAN
State: single point on PBEsol structure

Cell lengths 5.779, 5.779, 5.779 Å; angles 138.10, 138.10, 60.75 degrees
Sites, in units of the cell vectors:
Y 0.250 0.750 0.500
Y 0.750 0.250 0.500
Zr 0.000 0.000 0.000
Os 0.500 0.500 0.000

DFT formation energy = 0.1360 eV/atom
Space-group type = No. 139
E above lowest polymorph = 404 meV per atom
Size of the total moment = 0.00 μB per formula unit
Calculated density = 8.96 g/cm³